An optimized crystal structure of Sc, computed with PBE.

Properties
The calculation puts the energy above the most stable polymorph in this dataset at 0.28 eV/f.u. As for the space group: I4/m, No. 87. The formation energy is 0.279 eV/atom.

Cell: 8.223 8.223 8.223 Å, 92.05 92.05 158.19°
Positions (direct):
Sc (0.093, 0.355, 0.448)
Sc (0.098, 0.834, 0.932)
Sc (0.166, 0.098, 0.265)
Sc (0.355, 0.907, 0.261)
Sc (0.645, 0.093, 0.739)
Sc (0.834, 0.902, 0.735)
Sc (0.902, 0.166, 0.068)
Sc (0.907, 0.645, 0.552)